DFT (PBE+U) results for a relaxed structure of Ga2FeAsO6.

Summary:
E_tot	-6.1149	eV/atom

a b c (Å): 5.5022 6.7298 6.7298
angles (deg): 81.25 80.53 80.53
Last column: magnetic moment on the atom in μB.
Positions (direct):
1 O 0.0690 0.2691 0.4154  0.01
2 As 0.7500 0.7319 0.2681  0.02
3 O 0.3627 0.1982 0.0009  0.11
4 O 0.1108 0.6510 0.1187  0.13
5 Ga 0.7682 0.2019 0.3907  0.01
6 Ga 0.2682 0.3907 0.2019  0.01
7 O 0.4310 0.5846 0.7309  0.01
8 O 0.8627 0.0009 0.1982  0.11
9 O 0.3892 0.8813 0.3490  0.13
10 O 0.8892 0.3490 0.8813  0.13
11 Fe 0.7500 0.0978 0.9022  4.31
12 O 0.9310 0.7309 0.5846  0.01
13 O 0.6373 0.8018 0.9991  0.11
14 As 0.2500 0.2681 0.7319  0.02
15 O 0.1373 0.9991 0.8018  0.11
16 Ga 0.7318 0.6093 0.7981  0.01
17 O 0.6108 0.1187 0.6510  0.13
18 O 0.5690 0.4154 0.2691  0.01
19 Ga 0.2318 0.7981 0.6093  0.01
20 Fe 0.2500 0.9022 0.0978  4.31